# 1
Below is a geometry-optimized Ac2ThAlPt6 structure, with properties calculated at the PBE level.

Unit cell a=5.9119 b=6.0218 c=7.3339 alpha=106.48 beta=92.76 gamma=109.46
Space group P-1 (No. 2)
Asymmetric unit:
Ac: 0.1956 0.4947 0.2652 [2 per cell]
Th: 0.5000 0.0000 0.0000 [1 per cell]
Al: 0.0000 0.0000 0.5000 [1 per cell]
Pt: 0.0716 0.1098 0.8645 [2 per cell]
Pt: 0.2852 0.4714 0.7060 [2 per cell]
Pt: 0.4121 0.1108 0.3880 [2 per cell]

Properties
Formation energy from the elements ... -22.4 kcal/mol of atoms
V ... 233.1 Å³/cell

# 2
Below is a geometry-optimized CaReNi2 structure, with properties calculated at the PBE level.

Unit cell a=2.6953 b=4.6805 c=4.6920 alpha=90.00 beta=90.00 gamma=90.00
Space group Pmmm (No. 47)
Asymmetric unit:
Ca: 0.0000 0.0000 0.0000 [1 per cell]
Re: 0.0000 0.5000 0.5000 [1 per cell]
Ni: 0.5000 0.0000 0.5000 [1 per cell]
Ni: 0.5000 0.5000 0.0000 [1 per cell]

Properties
Energy relative to the lowest polymorph listed for this composition ... 93 meV per atom
Formation energy from the elements ... 6.2 kcal/mol of atoms
V ... 59.2 Å³/cell

# 3
Below is a geometry-optimized Pm3Pr4Sc structure, with properties calculated at the PBE level.

Unit cell a=25.8210 b=3.4974 c=6.1535 alpha=90.00 beta=95.54 gamma=90.00
Space group C2/m (No. 12)
Asymmetric unit:
Pm: 0.0000 0.0000 0.0000 [2 per cell]
Pm: 0.1447 0.0000 0.2298 [4 per cell]
Pr: 0.1013 0.0000 0.7141 [4 per cell]
Pr: 0.2192 0.5000 0.7382 [4 per cell]
Sc: 0.0000 0.5000 0.5000 [2 per cell]

Properties
Energy relative to the lowest polymorph listed for this composition ... 173 meV per atom
Formation energy from the elements ... 5.1 kcal/mol of atoms
V ... 553.1 Å³/cell

# 4
Below is a geometry-optimized Re3NiSn structure, with properties calculated at the PBE level.

Unit cell a=4.8004 b=4.8004 c=4.8004 alpha=90.00 beta=90.00 gamma=90.00
Space group Pm-3m (No. 221)
Asymmetric unit:
Re: 0.0000 0.0000 0.5000 [3 per cell]
Ni: 0.5000 0.5000 0.5000 [1 per cell]
Sn: 0.0000 0.0000 0.0000 [1 per cell]

Properties
Energy relative to the lowest polymorph listed for this composition ... 1480 meV per atom
Formation energy from the elements ... 72.2 kcal/mol of atoms
V ... 110.6 Å³/cell

# 5
Below is a geometry-optimized Be6CuAu structure, with properties calculated at the PBE level.

Unit cell a=4.3111 b=4.3111 c=4.3111 alpha=90.00 beta=90.00 gamma=90.00
Space group Pm-3 (No. 200)
Asymmetric unit:
Be: 0.0000 0.2552 0.5000 [6 per cell]
Cu: 0.5000 0.5000 0.5000 [1 per cell]
Au: 0.0000 0.0000 0.0000 [1 per cell]

Properties
Formation energy from the elements ... 0.5 kcal/mol of atoms
V ... 80.1 Å³/cell

# 6
Below is a geometry-optimized Nd4Tm4Sc structure, with properties calculated at the PBE level.

Unit cell a=5.2888 b=5.2888 c=23.3424 alpha=90.00 beta=90.00 gamma=90.00
Space group I-42m (No. 121)
Asymmetric unit:
Nd: 0.2466 0.2466 0.1263 [8 per cell]
Tm: 0.0000 0.0000 0.2523 [4 per cell]
Tm: 0.0000 0.5000 0.0000 [4 per cell]
Sc: 0.0000 0.0000 0.0000 [2 per cell]

Properties
Energy relative to the lowest polymorph listed for this composition ... 623 meV per atom
Formation energy from the elements ... 15.1 kcal/mol of atoms
V ... 652.9 Å³/cell

# 7
Below is a geometry-optimized RbCrP structure, with properties calculated at the PBE level.

Unit cell a=4.0048 b=6.7417 c=7.4111 alpha=105.87 beta=103.71 gamma=103.98
Space group P-1 (No. 2)
Asymmetric unit:
Rb: 0.2273 0.3147 0.1812 [2 per cell]
Cr: 0.1297 0.9084 0.4211 [2 per cell]
P: 0.4521 0.1250 0.7471 [2 per cell]

Properties
Energy relative to the lowest polymorph listed for this composition ... 330 meV per atom
Formation energy from the elements ... 1.3 kcal/mol of atoms
V ... 176.6 Å³/cell

# 8
Below is a geometry-optimized NaSrO2 structure, with properties calculated at the PBE level.

Unit cell a=6.0817 b=6.0817 c=6.0817 alpha=90.00 beta=90.00 gamma=90.00
Space group Fm-3m (No. 225)
Asymmetric unit:
Na: 0.0000 0.0000 0.0000 [4 per cell]
Sr: 0.0000 0.0000 0.5000 [4 per cell]
O: 0.2500 0.2500 0.2500 [8 per cell]

Properties
Raw formation energy ... -1.63 eV per atom
V ... 224.9 Å³/cell

# 9
Below is a geometry-optimized BaNi2As2 structure, with properties calculated at the PBE level.

Unit cell a=6.1174 b=6.1285 c=20.4754 alpha=90.00 beta=90.00 gamma=90.00
Space group Fmmm (No. 69)
Asymmetric unit:
Ba: 0.0000 0.0000 0.1245 [8 per cell]
Ni: 0.0000 0.0000 0.3029 [8 per cell]
Ni: 0.2500 0.2500 0.0000 [8 per cell]
As: 0.0000 0.0000 0.4332 [8 per cell]
As: 0.2500 0.2500 0.2500 [8 per cell]

Properties
Formation energy from the elements ... -12.4 kcal/mol of atoms
V ... 767.6 Å³/cell

# 10
Below is a geometry-optimized BaCr2Rh2 structure, with properties calculated at the PBE level.

Unit cell a=4.5312 b=4.5312 c=9.0168 alpha=90.00 beta=90.00 gamma=90.00
Space group I4/mmm (No. 139)
Asymmetric unit:
Ba: 0.0000 0.0000 0.0000 [2 per cell]
Cr: 0.0000 0.0000 0.3889 [4 per cell]
Rh: 0.0000 0.5000 0.2500 [4 per cell]

Properties
Energy relative to the lowest polymorph listed for this composition ... 0 meV per atom
Formation energy from the elements ... 8.3 kcal/mol of atoms
V ... 185.1 Å³/cell

# 11
Below is a geometry-optimized Ac2Zn3In5 structure, with properties calculated at the PBE level.

Unit cell a=11.4540 b=13.4090 c=6.6574 alpha=90.00 beta=90.00 gamma=90.00
Space group Ibam (No. 72)
Asymmetric unit:
Ac: 0.2453 0.1260 0.0000 [8 per cell]
Zn: 0.0000 0.0000 0.2500 [4 per cell]
Zn: 0.1368 0.3781 0.0000 [8 per cell]
In: 0.0000 0.2590 0.2500 [8 per cell]
In: 0.0000 0.5000 0.2500 [4 per cell]
In: 0.1339 0.1171 0.5000 [8 per cell]

Properties
Energy relative to the lowest polymorph listed for this composition ... 0 meV per atom
Formation energy from the elements ... -8.1 kcal/mol of atoms
V ... 1022.5 Å³/cell

# 12
Below is a geometry-optimized LiLaCeNd structure, with properties calculated at the PBE level.

Unit cell a=7.8168 b=7.8168 c=7.8168 alpha=90.00 beta=90.00 gamma=90.00
Space group F-43m (No. 216)
Asymmetric unit:
Li: 0.0000 0.0000 0.0000 [4 per cell]
La: 0.2500 0.2500 0.2500 [4 per cell]
Ce: 0.0000 0.0000 0.5000 [4 per cell]
Nd: 0.2500 0.2500 0.7500 [4 per cell]

Properties
Formation energy from the elements ... 5.9 kcal/mol of atoms
V ... 477.6 Å³/cell

# 13
Below is a geometry-optimized CsTe2Cl4 structure, with properties calculated at the PBE level.

Unit cell a=10.3242 b=15.6812 c=15.7632 alpha=90.00 beta=90.00 gamma=90.00
Space group F222 (No. 22)
Asymmetric unit:
Cs: 0.0000 0.0000 0.0000 [4 per cell]
Cs: 0.2500 0.2500 0.2500 [4 per cell]
Te: 0.1247 0.0471 0.7023 [16 per cell]
Cl: 0.0519 0.1455 0.8221 [16 per cell]
Cl: 0.1982 0.0729 0.3964 [16 per cell]

Properties
Raw formation energy ... -0.84 eV per atom
V ... 2552.0 Å³/cell

# 14
Below is a geometry-optimized ThScSnAu structure, with properties calculated at the PBE level.

Unit cell a=7.3527 b=7.3527 c=7.3527 alpha=90.00 beta=90.00 gamma=90.00
Space group F-43m (No. 216)
Asymmetric unit:
Th: 0.0000 0.0000 0.0000 [4 per cell]
Sc: 0.0000 0.0000 0.5000 [4 per cell]
Sn: 0.2500 0.2500 0.2500 [4 per cell]
Au: 0.2500 0.2500 0.7500 [4 per cell]

Properties
Formation energy from the elements ... -12.0 kcal/mol of atoms
V ... 397.5 Å³/cell

# 15
Below is a geometry-optimized HoScRe structure, with properties calculated at the PBE level.

Unit cell a=6.2783 b=12.0355 c=7.6502 alpha=90.00 beta=90.00 gamma=90.00
Space group Cmce (No. 64)
Asymmetric unit:
Ho: 0.0000 0.1897 0.1079 [8 per cell]
Sc: 0.2500 0.0501 0.7500 [8 per cell]
Re: 0.0000 0.0958 0.4560 [8 per cell]

Properties
Energy relative to the lowest polymorph listed for this composition ... 89 meV per atom
Formation energy from the elements ... 2.7 kcal/mol of atoms
V ... 578.1 Å³/cell

# 16
Below is a geometry-optimized TmAl2Ni6 structure, with properties calculated at the PBE level.

Unit cell a=2.8078 b=6.8183 c=12.5706 alpha=90.00 beta=90.00 gamma=90.00
Space group Immm (No. 71)
Asymmetric unit:
Tm: 0.0000 0.0000 0.0000 [2 per cell]
Al: 0.0000 0.5000 0.1455 [4 per cell]
Ni: 0.0000 0.1686 0.5000 [4 per cell]
Ni: 0.0000 0.3143 0.3219 [8 per cell]

Properties
Formation energy from the elements ... -5.6 kcal/mol of atoms
V ... 240.7 Å³/cell

# 17
Below is a geometry-optimized CdCuNi structure, with properties calculated at the PBE level.

Unit cell a=3.7674 b=11.5394 c=3.9836 alpha=90.00 beta=90.00 gamma=90.00
Space group Cmcm (No. 63)
Asymmetric unit:
Cd: 0.0000 0.0909 0.2500 [4 per cell]
Cu: 0.0000 0.3965 0.2500 [4 per cell]
Ni: 0.0000 0.2484 0.7500 [4 per cell]

Properties
Energy relative to the lowest polymorph listed for this composition ... 57 meV per atom
Formation energy from the elements ... 1.8 kcal/mol of atoms
V ... 173.2 Å³/cell

# 18
Below is a geometry-optimized SbHIr structure, with properties calculated at the PBE level.

Unit cell a=8.9641 b=5.6389 c=5.6065 alpha=90.00 beta=128.18 gamma=90.00
Space group C2 (No. 5)
Asymmetric unit:
Sb: 0.2497 0.0000 0.2496 [4 per cell]
H: 0.0000 0.0547 0.5000 [2 per cell]
H: 0.0000 0.4465 0.0000 [2 per cell]
Ir: 0.9999 0.2506 0.2501 [4 per cell]

Properties
Energy relative to the lowest polymorph listed for this composition ... 82 meV per atom
V ... 222.8 Å³/cell

# 19
Below is a geometry-optimized B4C structure, with properties calculated at the PBE level.

Unit cell a=7.3481 b=4.6724 c=5.6232 alpha=90.00 beta=129.56 gamma=90.00
Space group C2 (No. 5)
Asymmetric unit:
B: 0.0000 0.0000 0.0000 [2 per cell]
B: 0.0000 0.2694 0.5000 [2 per cell]
B: 0.0839 0.5859 0.4247 [4 per cell]
B: 0.1354 0.2163 0.3488 [4 per cell]
B: 0.1533 0.0785 0.8594 [4 per cell]
C: 0.1150 0.7555 0.8935 [4 per cell]

Properties
Energy relative to the lowest polymorph listed for this composition ... 511 meV per atom
Formation energy from the elements ... 9.4 kcal/mol of atoms
V ... 148.8 Å³/cell

# 20
Below is a geometry-optimized LaZrCr3 structure, with properties calculated at the PBE level.

Unit cell a=4.5901 b=4.5901 c=4.5901 alpha=90.00 beta=90.00 gamma=90.00
Space group Pm-3m (No. 221)
Asymmetric unit:
La: 0.0000 0.0000 0.0000 [1 per cell]
Zr: 0.5000 0.5000 0.5000 [1 per cell]
Cr: 0.0000 0.0000 0.5000 [3 per cell]

Properties
Energy relative to the lowest polymorph listed for this composition ... 166 meV per atom
Formation energy from the elements ... 37.3 kcal/mol of atoms
V ... 96.7 Å³/cell

# 21
Below is a geometry-optimized LaAlZnAu6 structure, with properties calculated at the PBE level.

Unit cell a=7.4846 b=9.2185 c=10.8669 alpha=90.00 beta=90.00 gamma=90.00
Space group Imma (No. 74)
Asymmetric unit:
La: 0.0000 0.2500 0.2168 [4 per cell]
Al: 0.0000 0.0000 0.0000 [4 per cell]
Zn: 0.2500 0.2500 0.7500 [4 per cell]
Au: 0.0000 0.2500 0.5191 [4 per cell]
Au: 0.0000 0.2500 0.9133 [4 per cell]
Au: 0.1998 0.0076 0.3730 [16 per cell]

Properties
Formation energy from the elements ... -7.2 kcal/mol of atoms
V ... 749.8 Å³/cell

# 22
Below is a geometry-optimized SmTh2Al structure, with properties calculated at the PBE level.

Unit cell a=3.6336 b=3.6336 c=8.9926 alpha=90.00 beta=90.00 gamma=90.00
Space group P4/mmm (No. 123)
Asymmetric unit:
Sm: 0.0000 0.0000 0.0000 [1 per cell]
Th: 0.5000 0.5000 0.2871 [2 per cell]
Al: 0.0000 0.0000 0.5000 [1 per cell]

Properties
Energy relative to the lowest polymorph listed for this composition ... 84 meV per atom
Formation energy from the elements ... -0.8 kcal/mol of atoms
V ... 118.7 Å³/cell

# 23
Below is a geometry-optimized Si4As3 structure, with properties calculated at the PBE level.

Unit cell a=3.4604 b=3.4604 c=21.0763 alpha=90.00 beta=90.00 gamma=90.00
Space group I4/mmm (No. 139)
Asymmetric unit:
Si: 0.0000 0.0000 0.0671 [4 per cell]
Si: 0.0000 0.0000 0.3634 [4 per cell]
As: 0.0000 0.0000 0.1858 [4 per cell]
As: 0.0000 0.0000 0.5000 [2 per cell]

Properties
Raw formation energy ... 0.47 eV per atom
V ... 252.4 Å³/cell

# 24
Below is a geometry-optimized CdAs2HO6 structure, with properties calculated at the PBE level.

Unit cell a=10.9465 b=9.9170 c=6.1793 alpha=90.00 beta=107.78 gamma=90.00
Space group C2/c (No. 15)
Asymmetric unit:
Cd: 0.0000 0.2487 0.2500 [4 per cell]
As: 0.1917 0.4163 0.6894 [8 per cell]
H: 0.0000 0.2895 0.7500 [4 per cell]
O: 0.0755 0.2870 0.6403 [8 per cell]
O: 0.1499 0.4611 0.3725 [8 per cell]
O: 0.1586 0.1392 0.1811 [8 per cell]

Properties
DFT total energy ... -5.3500 eV/atom
V ... 638.8 Å³/cell

Spin magnetization: 0.000; 0.837; 0.000; 0.184; 0.000; 1.669; 1.217; 4.000; 0.000; 2.272; 0.000; 9.897; 6.214; 0.606; 0.000; 0.000; 0.000; 0.000; 0.000; 4.896; 0.000; 0.000; 0.000; 0.000 (Bohr magnetons per cell)